1.
Crystalline Ba2AgPtS at its relaxed geometry, computed with PBE.

Results
- E: -18.509 eV/cell
- ρ: 5.5 g cm⁻³
- SG: P4/mmm, No. 123
- Magnetization: 0.0000 μB/atom
- Energy relative to the elements, uncorrected: -1.64 eV per formula unit

a = 6.135 Å, b = 4.877 Å, c = 6.135 Å
α = 90.00°, β = 90.00°, γ = 90.00°
Positions (direct):
Ag (0.000, 0.000, 0.000)
S (0.500, 0.500, 0.500)
Ba (0.000, 0.000, 0.500)
Ba (0.500, 0.000, 0.000)
Pt (0.000, 0.500, 0.000)


2.
Crystalline Li2PuCdCl8 at its relaxed geometry, computed with PBE.

Results
- E: -52.235 eV/cell
- ρ: 3.5 g cm⁻³
- SG: P2/m, No. 10
- Magnetization: 0.3333 μB/atom
- Energy relative to the elements, uncorrected: -18.39 eV per formula unit

a = 6.361 Å, b = 6.234 Å, c = 7.893 Å
α = 90.00°, β = 90.00°, γ = 96.27°
Site moments in Bohr magnetons follow the coordinates.
Positions (direct):
Li (0.500, 0.500, 0.729)  0.00
Li (0.500, 0.500, 0.271)  0.00
Pu (0.000, 0.000, 0.000)  4.36
Cd (0.000, 0.000, 0.500)  0.00
Cl (0.180, 0.790, 0.237)  -0.05
Cl (0.679, 0.707, 0.000)  -0.06
Cl (0.820, 0.210, 0.237)  -0.05
Cl (0.820, 0.210, 0.763)  -0.05
Cl (0.321, 0.293, 0.000)  -0.06
Cl (0.180, 0.790, 0.763)  -0.05
Cl (0.687, 0.710, 0.500)  -0.01
Cl (0.313, 0.290, 0.500)  -0.01


3.
Crystalline CaPd4O8 at its relaxed geometry, computed with PBE.

Results
- E: -71.911 eV/cell
- ρ: 5.2 g cm⁻³
- SG: R-3m, No. 166
- Excess energy over the best structure of this formula in the dataset: 0 meV per atom
- Magnetization: 0.1511 μB/atom
- Energy relative to the elements, uncorrected: -9.47 eV per formula unit

a = 6.297 Å, b = 6.297 Å, c = 6.637 Å
α = 61.68°, β = 61.68°, γ = 60.00°
Site moments in Bohr magnetons follow the coordinates.
Positions (direct):
Ca (0.500, 0.500, 0.500)  0.03
Pd (0.000, 0.500, 0.000)  0.04
Pd (0.500, 0.500, 0.000)  0.04
Pd (0.500, 0.000, 0.000)  0.04
Pd (0.000, 0.000, 0.000)  1.12
O (0.706, 0.242, 0.810)  0.09
O (0.758, 0.294, 0.190)  0.09
O (0.294, 0.758, 0.190)  0.09
O (0.758, 0.758, 0.190)  0.09
O (0.726, 0.726, 0.822)  0.02
O (0.274, 0.274, 0.178)  0.02
O (0.242, 0.242, 0.810)  0.09
O (0.242, 0.706, 0.810)  0.09


4.
Crystalline Ga2GePd at its relaxed geometry, computed with PBE.

Results
- E: -16.583 eV/cell
- ρ: 7.1 g cm⁻³
- SG: R3m, No. 160
- Magnetization: 0.0000 μB/atom
- ΔE_f: -0.180 eV per atom

a = 4.189 Å, b = 4.189 Å, c = 5.459 Å
α = 67.44°, β = 67.44°, γ = 60.00°
Positions (direct):
Ga (0.072, 0.072, 0.783)
Ga (0.270, 0.270, 0.190)
Ge (0.491, 0.491, 0.527)
Pd (0.667, 0.667, 0.999)


5.
Crystalline MnCoAg2 at its relaxed geometry, computed with PBE.

Results
- E: -20.576 eV/cell
- ρ: 8.9 g cm⁻³
- SG: Imm2, No. 44
- Excess energy over the best structure of this formula in the dataset: 111 meV per atom
- Magnetization: 1.3001 μB/atom
- ΔE_f: 0.350 eV per atom

a = 5.253 Å, b = 5.253 Å, c = 5.253 Å
α = 147.17°, β = 128.14°, γ = 62.75°
Site moments in Bohr magnetons follow the coordinates.
Positions (direct):
Ag (0.009, 0.009, 0.000)  0.01
Ag (0.735, 0.235, 0.500)  0.03
Co (0.484, 0.484, 0.000)  1.56
Mn (0.272, 0.772, 0.500)  3.52


6.
Crystalline Sc2VPt2 at its relaxed geometry, computed with PBE.

Results
- E: -75.280 eV/cell
- ρ: 9.6 g cm⁻³
- SG: P4/mbm, No. 127
- Magnetization: 0.0002 μB/atom
- ΔE_f: -0.755 eV per atom

a = 6.586 Å, b = 6.586 Å, c = 4.249 Å
α = 90.00°, β = 90.00°, γ = 90.00°
Positions (direct):
Sc (0.171, 0.671, 0.500)
Sc (0.671, 0.829, 0.500)
Sc (0.829, 0.329, 0.500)
Sc (0.329, 0.171, 0.500)
Pt (0.356, 0.856, 0.000)
Pt (0.856, 0.644, 0.000)
Pt (0.644, 0.144, 0.000)
Pt (0.144, 0.356, 0.000)
V (0.000, 0.000, 0.000)
V (0.500, 0.500, 0.000)


7.
Crystalline LaRh2W at its relaxed geometry, computed with PBE.

Results
- E: -32.141 eV/cell
- ρ: 11.8 g cm⁻³
- SG: Imm2, No. 44
- Excess energy over the best structure of this formula in the dataset: 305 meV per atom
- Magnetization: 0.0000 μB/atom
- ΔE_f: 0.111 eV per atom

a = 5.991 Å, b = 5.991 Å, c = 5.991 Å
α = 151.52°, β = 133.15°, γ = 55.74°
Positions (direct):
La (0.752, 0.252, 0.500)
Rh (0.023, 0.023, 0.000)
Rh (0.256, 0.756, 0.500)
W (0.470, 0.470, 0.000)


8.
Crystalline Li4Mg9Ag11 at its relaxed geometry, computed with PBE.

Results
- E: -58.279 eV/cell
- ρ: 5.5 g cm⁻³
- SG: Cmmm, No. 65
- Magnetization: 0.0000 μB/atom
- ΔE_f: -0.205 eV per atom

a = 3.040 Å, b = 12.364 Å, c = 12.364 Å
α = 110.79°, β = 90.00°, γ = 90.00°
Positions (direct):
Li (0.500, 0.569, 0.750)
Li (0.500, 0.431, 0.250)
Li (0.500, 0.750, 0.569)
Li (0.500, 0.250, 0.431)
Mg (0.500, 0.619, 0.159)
Mg (0.500, 0.381, 0.841)
Mg (0.500, 0.159, 0.619)
Mg (0.500, 0.841, 0.381)
Mg (0.500, 0.793, 0.963)
Mg (0.500, 0.207, 0.037)
Mg (0.500, 0.963, 0.793)
Mg (0.500, 0.037, 0.207)
Mg (0.500, 0.500, 0.500)
Ag (0.000, 0.592, 0.948)
Ag (0.000, 0.408, 0.052)
Ag (0.000, 0.948, 0.592)
Ag (0.000, 0.052, 0.408)
Ag (0.000, 0.629, 0.371)
Ag (0.000, 0.371, 0.629)
Ag (0.000, 0.826, 0.174)
Ag (0.000, 0.174, 0.826)
Ag (0.000, 0.000, 0.000)
Ag (0.000, 0.754, 0.754)
Ag (0.000, 0.246, 0.246)


9.
Crystalline Li4HgGe at its relaxed geometry, computed with PBE.

Results
- E: -28.569 eV/cell
- ρ: 5.0 g cm⁻³
- SG: C2/c, No. 15
- Excess energy over the best structure of this formula in the dataset: 0 meV per atom
- Magnetization: 0.0000 μB/atom
- ΔE_f: -0.285 eV per atom

a = 4.752 Å, b = 4.558 Å, c = 9.813 Å
α = 103.56°, β = 104.01°, γ = 90.00°
Positions (direct):
Li (0.631, 0.171, 0.843)
Li (0.788, 0.329, 0.157)
Li (0.369, 0.829, 0.157)
Li (0.212, 0.671, 0.843)
Li (0.068, 0.086, 0.673)
Li (0.395, 0.414, 0.327)
Li (0.932, 0.914, 0.327)
Li (0.605, 0.586, 0.673)
Hg (0.500, 0.000, 0.500)
Hg (0.000, 0.500, 0.500)
Ge (0.812, 0.750, 0.000)
Ge (0.188, 0.250, 0.000)


10.
Crystalline NaZrAu2 at its relaxed geometry, computed with PBE.

Results
- E: -17.932 eV/cell
- ρ: 10.5 g cm⁻³
- SG: P4/mmm, No. 123
- Excess energy over the best structure of this formula in the dataset: 0 meV per atom
- Magnetization: 0.0000 μB/atom
- ΔE_f: -0.378 eV per atom

a = 2.938 Å, b = 5.229 Å, c = 5.229 Å
α = 90.00°, β = 90.00°, γ = 90.00°
Positions (direct):
Na (0.500, 0.500, 0.500)
Au (0.000, 0.000, 0.500)
Au (0.000, 0.500, 0.000)
Zr (0.500, 0.000, 0.000)


11.
Crystalline Be2CuSe at its relaxed geometry, computed with PBE.

Results
- E: -13.361 eV/cell
- ρ: 5.3 g cm⁻³
- SG: P4/mmm, No. 123
- Magnetization: 0.0000 μB/atom
- Energy relative to the elements, uncorrected: 1.67 eV per formula unit

a = 3.899 Å, b = 3.899 Å, c = 3.309 Å
α = 90.00°, β = 90.00°, γ = 90.00°
Positions (direct):
Be (0.000, 0.000, 0.000)
Be (0.500, 0.500, 0.000)
Cu (0.500, 0.000, 0.500)
Se (0.000, 0.500, 0.500)


12.
Crystalline Pm4HI5 at its relaxed geometry, computed with PBE.

Results
- E: -40.255 eV/cell
- ρ: 6.1 g cm⁻³
- SG: C2/m, No. 12
- Magnetization: 0.0000 μB/atom

a = 4.053 Å, b = 8.958 Å, c = 9.647 Å
α = 102.75°, β = 102.13°, γ = 90.00°
Positions (direct):
Pm (0.633, 0.067, 0.266)
Pm (0.998, 0.205, 0.997)
Pm (0.367, 0.933, 0.734)
Pm (0.002, 0.795, 0.003)
H (0.500, 0.000, 0.000)
I (0.167, 0.345, 0.334)
I (0.175, 0.826, 0.350)
I (0.825, 0.174, 0.650)
I (0.500, 0.500, 0.000)
I (0.833, 0.655, 0.666)


13.
Crystalline VBiAu2 at its relaxed geometry, computed with PBE.

Results
- E: -37.001 eV/cell
- ρ: 12.7 g cm⁻³
- SG: I-42d, No. 122
- Magnetization: 0.5554 μB/atom
- ΔE_f: 0.264 eV per atom

a = 7.846 Å, b = 7.846 Å, c = 6.208 Å
α = 50.81°, β = 50.81°, γ = 90.00°
Site moments in Bohr magnetons follow the coordinates.
Positions (direct):
Au (0.597, 0.125, 0.250)  0.02
Au (0.153, 0.625, 0.250)  0.02
Au (0.375, 0.403, 0.750)  0.02
Au (0.875, 0.847, 0.750)  0.02
Bi (0.000, 0.000, 0.000)  -0.06
Bi (0.750, 0.250, 0.500)  -0.06
V (0.500, 0.500, 0.000)  1.97
V (0.250, 0.750, 0.500)  1.97


14.
Crystalline TbSmDySn at its relaxed geometry, computed with PBE.

Results
- E: -18.918 eV/cell
- ρ: 8.6 g cm⁻³
- SG: F-43m, No. 216
- Magnetization: 0.0017 μB/atom
- ΔE_f: -0.241 eV per atom

a = 5.447 Å, b = 5.447 Å, c = 5.447 Å
α = 60.00°, β = 60.00°, γ = 60.00°
Positions (direct):
Tb (0.750, 0.750, 0.750)
Sn (0.250, 0.250, 0.250)
Sm (0.500, 0.500, 0.500)
Dy (0.000, 0.000, 0.000)


15.
Crystalline MnCo3Ru at its relaxed geometry, computed with PBE.

Results
- E: -33.123 eV/cell
- ρ: 7.9 g cm⁻³
- SG: Pm-3m, No. 221
- Excess energy over the best structure of this formula in the dataset: 0 meV per atom
- Magnetization: 0.9896 μB/atom
- ΔE_f: 1.328 eV per atom

a = 4.119 Å, b = 4.119 Å, c = 4.119 Å
α = 90.00°, β = 90.00°, γ = 90.00°
Site moments in Bohr magnetons follow the coordinates.
Positions (direct):
Ru (0.500, 0.500, 0.500)  1.65
Mn (0.000, 0.000, 0.000)  0.33
Co (0.000, 0.500, 0.000)  0.94
Co (0.000, 0.000, 0.500)  0.85
Co (0.500, 0.000, 0.000)  1.13


16.
Crystalline HgMo2 at its relaxed geometry, computed with PBE.

Results
- E: -71.543 eV/cell
- ρ: 9.9 g cm⁻³
- SG: Pa-3, No. 205
- Excess energy over the best structure of this formula in the dataset: 955 meV per atom
- Magnetization: 0.0000 μB/atom
- ΔE_f: 1.359 eV per atom

a = 6.402 Å, b = 6.402 Å, c = 6.402 Å
α = 90.00°, β = 90.00°, γ = 90.00°
Positions (direct):
Mo (0.098, 0.598, 0.902)
Mo (0.098, 0.902, 0.402)
Mo (0.402, 0.098, 0.902)
Mo (0.402, 0.402, 0.402)
Mo (0.598, 0.598, 0.598)
Mo (0.598, 0.902, 0.098)
Mo (0.902, 0.098, 0.598)
Mo (0.902, 0.402, 0.098)
Hg (0.000, 0.000, 0.000)
Hg (0.000, 0.500, 0.500)
Hg (0.500, 0.000, 0.500)
Hg (0.500, 0.500, 0.000)


17.
Crystalline Cs2Pr2NpO6 at its relaxed geometry, computed with PBE.

Results
- E: -83.067 eV/cell
- ρ: 6.0 g cm⁻³
- SG: C2/m, No. 12
- Magnetization: 0.2727 μB/atom
- Energy relative to the elements, uncorrected: -29.11 eV per formula unit

a = 6.310 Å, b = 6.310 Å, c = 7.357 Å
α = 97.98°, β = 97.98°, γ = 119.86°
Site moments in Bohr magnetons follow the coordinates.
Positions (direct):
Cs (0.833, 0.167, 0.000)  0.00
Cs (0.167, 0.833, 0.000)  0.00
Pr (0.334, 0.666, 0.500)  0.02
Pr (0.666, 0.334, 0.500)  0.02
Np (0.000, 0.000, 0.500)  3.02
O (0.747, 0.747, 0.658)  -0.04
O (0.045, 0.365, 0.658)  -0.03
O (0.253, 0.253, 0.342)  -0.04
O (0.365, 0.045, 0.658)  -0.03
O (0.955, 0.635, 0.342)  -0.03
O (0.635, 0.955, 0.342)  -0.03